The following is a DFT calculation (PBE-GGA) of an optimized crystal structure of MgZnCdTe3.

CIF file:
```
data_MgZnCdTe3
_symmetry_space_group_name_H-M 'C m c m'
_symmetry_Int_Tables_number 63
_symmetry_space_group_name_Hall '-C 2c 2'
_cell_length_a 4.0681
_cell_length_b 13.8246
_cell_length_c 11.7862
_cell_angle_alpha 90.00
_cell_angle_beta 90.00
_cell_angle_gamma 90.00
loop_
_atom_site_label
_atom_site_type_symbol
_atom_site_fract_x
_atom_site_fract_y
_atom_site_fract_z
Mg1 Mg 0.0000 0.2233 0.2500
Zn1 Zn 0.0000 0.4755 0.7500
Cd1 Cd 0.0000 0.0000 0.0000
Te1 Te 0.0000 0.1027 0.7500
Te2 Te 0.0000 0.3522 0.5764
```

Computed properties:
Excess energy over the best structure of this formula in the dataset (kcal/mol of atoms): 0.00